Ac3PmIr | the Alexandria database | PBE-GGA | relaxed; polymorph energy (0 for the lowest one) = 0.055 eV/atom; space-group type = No. 51; ΔE_f = -0.265 eV per atom; calculated volume = 398 Å³/cell; crystal system = orthorhombic; total energy = -5.45 eV per atom
1.0
-3.989 -1.235 -0.574
2.471 -4.192 -8.156
1.904 -8.435 4.912
Ac Pm Ir
6 2 2
direct
0.000 0.734 0.041
0.500 0.952 0.750
0.000 0.734 0.459
0.000 0.266 0.959
0.000 0.266 0.541
0.500 0.048 0.250
0.500 0.449 0.250
0.500 0.551 0.750
0.500 0.742 0.250
0.500 0.258 0.750


Ac4PmIr2 | the Alexandria database | PBE-GGA | relaxed; space-group type = No. 166; ΔE_f = -0.402 eV per atom; calculated volume = 268 Å³/cell; crystal system = trigonal; total energy = -5.96 eV per atom
1.0
4.331 0.000 0.000
2.165 3.750 0.000
2.165 1.250 16.475
Ac Ir Pm
4 2 1
direct
0.896 0.896 0.311
0.706 0.706 0.883
0.294 0.294 0.117
0.104 0.104 0.689
0.404 0.404 0.788
0.596 0.596 0.212
0.500 0.500 0.500